1.
VASP calculation (PBE) on a geometry-optimized ZrTi3Co structure.

Computed properties:
Spin magnetization in μB/cell: 0.00
SG: Imma
Energy of formation from the pure elements in eV per atom: 0.150
E above lowest polymorph in kJ/mol of formula units: 48

Cell lengths 6.4690, 6.3958, 6.3958 Å; angles 59.56, 59.62, 59.62 degrees
With the nearest neighbours (Å) after each atom.
Element x y z (fractional)
Co 0.0000 0.5000 0.5000  6 Ti 2.28-2.29
Co 0.5000 0.0000 0.0000  6 Ti 2.28-2.29
Zr 0.7500 0.1830 0.3170  12 Ti 3.16-3.34
Zr 0.2500 0.8170 0.6830  12 Ti 3.16-3.34
Ti 0.7246 0.2754 0.7754  2 Co 2.28
Ti 0.7500 0.6853 0.8147  2 Co 2.29
Ti 0.7754 0.7246 0.2246  2 Co 2.28
Ti 0.2500 0.3147 0.1853  2 Co 2.29
Ti 0.2246 0.2754 0.7754  2 Co 2.28
Ti 0.2754 0.7246 0.2246  2 Co 2.28

***

2.
VASP calculation (PBE) on a geometry-optimized Zr2TiCo3 structure.

Computed properties:
Spin magnetization in μB/cell: 2.46
SG: Imma
Energy of formation from the pure elements in eV per atom: -0.293
E above lowest polymorph in kJ/mol of formula units: 0

Cell lengths 4.3537, 7.6413, 7.6410 Å; angles 119.55, 106.57, 106.57 degrees
With the nearest neighbours (Å) after each atom.
Element x y z (fractional)
Zr 0.2500 0.7471 0.2529  8 Co 2.67-2.92
Zr 0.7500 0.9171 0.0829  8 Co 2.72-2.79
Zr 0.2500 0.0829 0.9171  8 Co 2.72-2.79
Zr 0.7500 0.2529 0.7471  8 Co 2.67-2.92
Co 0.0000 0.0000 0.5000  6 Zr 2.69-2.72, 2 Ti 2.75
Co 0.5247 0.1994 0.3509  3 Ti 2.50-2.60, 4 Zr 2.67-2.79
Co 0.9753 0.6491 0.8006  3 Ti 2.51-2.60, 4 Zr 2.67-2.79
Co 0.0247 0.3509 0.1994  3 Ti 2.51-2.60, 4 Zr 2.67-2.79
Co 0.4753 0.8006 0.6491  3 Ti 2.50-2.60, 4 Zr 2.67-2.79
Co 0.5000 0.5000 0.0000  6 Zr 2.69-2.72, 2 Ti 2.75
Ti 0.7500 0.5803 0.4197  8 Co 2.50-2.75
Ti 0.2500 0.4197 0.5803  8 Co 2.50-2.75

***

3.
VASP calculation (PBE) on a geometry-optimized ZrTi3Co structure.

Computed properties:
Spin magnetization in μB/cell: 0.00
SG: Pm-3m
Energy of formation from the pure elements in eV per atom: 0.173
E above lowest polymorph in kJ/mol of formula units: 59

Cell lengths 4.5294, 4.5294, 4.5294 Å; angles 90.00, 90.00, 90.00 degrees
With the nearest neighbours (Å) after each atom.
Element x y z (fractional)
Ti 0.0000 0.5000 0.0000  2 Co 2.26
Ti 0.0000 0.0000 0.5000  2 Co 2.26
Ti 0.5000 0.0000 0.0000  2 Co 2.26
Co 0.0000 0.0000 0.0000  6 Ti 2.26
Zr 0.5000 0.5000 0.5000  12 Ti 3.20